This record from Alexandria describes a relaxed structure of Mn3GePt12. The functional is PBE-GGA.

a b c (Å): 3.941 3.941 15.761
angles (deg): 90.00 90.00 90.00
Positions (direct):
Mn 0.000 0.000 0.000
Mn 0.000 0.000 0.248
Mn 0.000 0.000 0.752
Ge 0.000 0.000 0.500
Pt 0.000 0.500 0.124
Pt 0.000 0.500 0.373
Pt 0.000 0.500 0.627
Pt 0.000 0.500 0.876
Pt 0.500 0.000 0.124
Pt 0.500 0.000 0.373
Pt 0.500 0.000 0.627
Pt 0.500 0.000 0.876
Pt 0.500 0.500 0.000
Pt 0.500 0.500 0.249
Pt 0.500 0.500 0.500
Pt 0.500 0.500 0.751

Total DFT energy (no corrections), eV per cell: -110.0
Energy relative to the elements, eV/atom: -0.337
Density of states at the Fermi level, states/eV per atom: 0.883